Record 1
## Cu3Ag5 (PBE)

Data for a geometry-optimized Cu3Ag5 structure.

Cell and atoms, written as POSCAR:
```
Cu3Ag5
1.0
4.470 -1.971 0.000
4.470 1.971 0.000
-3.525 0.000 7.123
Cu Ag
3 5
Cartesian
0.000 0.000 0.000
0.934 0.000 2.434
3.672 0.000 1.616
-0.777 0.000 6.186
1.859 0.000 5.214
6.233 0.000 0.797
4.587 0.000 4.232
7.270 0.000 3.332
```

Calculated values
* ΔE to the lowest computed polymorph: 4.8 kJ/mol of atoms
* energy relative to the elements: 86 meV/atom
* space-group type: Cm (8)
* energy: -24.58 eV for the cell shown

---

Record 2
## Cu3Ag2 (PBE)

Data for a geometry-optimized Cu3Ag2 structure.

Cell and atoms, written as POSCAR:
```
Cu3Ag2
1.0
6.987 -1.896 0.000
6.987 1.896 0.000
-1.035 0.000 5.408
Cu Ag
6 4
Cartesian
0.000 0.000 0.000
-0.453 0.000 2.571
5.504 0.000 0.994
7.938 0.000 1.506
7.530 0.000 4.249
10.329 0.000 4.830
2.110 0.000 3.161
2.648 0.000 0.420
4.974 0.000 3.780
10.872 0.000 2.052
```

Calculated values
* ΔE to the lowest computed polymorph: 5.0 kJ/mol of atoms
* energy relative to the elements: 94 meV/atom
* space-group type: Cm (8)
* energy: -32.66 eV for the cell shown

---

Record 3
## CuAg (PBE)

Data for a geometry-optimized CuAg structure.

Cell and atoms, written as POSCAR:
```
CuAg
1.0
1.401 0.809 8.949
-1.401 0.809 8.949
0.000 -1.617 8.949
Cu Ag
2 2
Cartesian
0.000 0.000 3.500
0.000 0.000 23.347
0.000 0.000 10.211
0.000 0.000 16.636
```

Calculated values
* energy relative to the elements: 98 meV/atom
* space-group type: R-3m (166)
* energy: -12.69 eV for the cell shown

---

Record 4
## CuAg (PBE)

Data for a geometry-optimized CuAg structure.

Cell and atoms, written as POSCAR:
```
CuAg
1.0
7.608 -1.429 0.000
7.608 1.429 0.000
-1.650 0.000 6.889
Cu Ag
5 5
Cartesian
0.000 0.000 0.000
5.935 0.000 1.316
5.061 0.000 4.957
8.504 0.000 1.932
7.631 0.000 5.573
-0.825 0.000 3.445
1.918 0.000 4.096
2.763 0.000 0.665
10.802 0.000 6.224
11.648 0.000 2.793
```

Calculated values
* energy relative to the elements: 89 meV/atom
* space-group type: C2/m (12)
* energy: -31.82 eV for the cell shown

---

Record 5
## CuAg (PBE)

Data for a geometry-optimized CuAg structure.

Cell and atoms, written as POSCAR:
```
CuAg
1.0
5.424 -1.428 0.000
5.424 1.428 0.000
-0.926 0.000 9.622
Cu Ag
5 5
Cartesian
0.000 0.000 0.000
1.697 0.000 6.272
5.121 0.000 5.559
5.696 0.000 7.954
9.163 0.000 7.086
0.781 0.000 3.601
2.338 0.000 8.906
4.261 0.000 2.039
7.256 0.000 1.347
8.580 0.000 4.360
```

Calculated values
* energy relative to the elements: 70 meV/atom
* space-group type: Cm (8)
* energy: -32.01 eV for the cell shown

---

Record 6
## CuAg (PBE)

Data for a geometry-optimized CuAg structure.

Cell and atoms, written as POSCAR:
```
CuAg
1.0
2.397 -6.918 0.000
2.397 6.918 0.000
-1.574 0.000 4.511
Cu Ag
5 5
Cartesian
0.000 0.000 0.000
1.610 5.607 2.255
2.397 -1.442 0.000
2.397 -4.280 0.000
1.610 -5.644 2.255
2.397 4.248 0.000
1.610 2.714 2.255
2.397 1.300 0.000
1.610 -0.122 2.255
1.610 -2.865 2.255
```

Calculated values
* energy relative to the elements: 105 meV/atom
* space-group type: C2 (5)
* energy: -31.66 eV for the cell shown